A crystal of CaGeSb3 relaxed with PBEsol, computed with meta-GGA SCAN.

Cell: 5.5454 5.5454 5.5454 Å, 90.00 90.00 90.00°
With the nearest neighbours (Å) after each atom.
Space group Pm-3m (No. 221)
Unique sites:
Ca (0.0000, 0.0000, 0.0000) x1  6 Sb 2.77
Ge (0.5000, 0.5000, 0.5000) x1  12 Sb 3.92
Sb (0.0000, 0.0000, 0.5000) x3  2 Ca 2.77

Computed properties:
The total energy is -27.17 eV per atom. The total magnetization is 0.00 Bohr magnetons per cell.

=====

A crystal of Ni3P4O14 relaxed with PBEsol, computed with meta-GGA SCAN.

Cell: 6.9813 7.7310 9.1642 Å, 90.00 110.53 90.00°
With the nearest neighbours (Å) after each atom.
Space group P2_1/c (No. 14)
Unique sites:
Ni (0.0000, 0.0000, 0.0000) x2  6 O 1.90-2.08
Ni (0.1869, 0.1252, 0.5222) x4  4 O 1.85-1.94
P (0.1072, 0.7179, 0.8015) x4  4 O 1.50-1.58
P (0.4047, 0.0454, 0.2968) x4  4 O 1.53-1.61
O (0.0082, 0.2175, 0.8784) x4  1 P 1.56
O (0.0221, 0.5817, 0.8877) x4  1 P 1.55
O (0.1360, 0.6080, 0.3776) x4  1 P 1.50
O (0.2743, 0.1143, 0.1346) x4  1 P 1.54
O (0.3219, 0.6462, 0.8085) x4  2 P 1.58-1.61
O (0.3698, 0.5169, 0.1805) x4  1 P 1.53
O (0.3787, 0.1560, 0.4271) x4  1 P 1.53

Computed properties:
The total energy is -10.44 eV per atom. The total magnetization is 8.00 Bohr magnetons per cell.

=====

A crystal of CaRe2Cl relaxed with PBEsol, computed with meta-GGA SCAN.

Cell: 3.0893 3.0893 7.9230 Å, 90.00 90.00 90.00°
With the nearest neighbours (Å) after each atom.
Space group P4mm (No. 99)
Unique sites:
Ca (0.0000, 0.0000, 0.0000) x1  4 Cl 2.79, 4 Ca 3.09
Re (0.0000, 0.0000, 0.5495) x1  4 Re 2.53
Re (0.5000, 0.5000, 0.7101) x1  4 Re 2.53
Cl (0.5000, 0.5000, 0.2200) x1  4 Ca 2.79, 4 Cl 3.09

Computed properties:
The total energy is -40.13 eV per atom. The total magnetization is 0.06 Bohr magnetons per cell.

=====

A crystal of TaMn2Cl relaxed with PBEsol, computed with meta-GGA SCAN.

Cell: 6.1222 6.1222 6.1222 Å, 90.00 90.00 90.00°
With the nearest neighbours (Å) after each atom.
Space group F-43m (No. 216)
Unique sites:
Ta (0.0000, 0.0000, 0.0000) x4  4 Mn 2.65, 4 Cl 2.65
Mn (0.0000, 0.0000, 0.5000) x4  4 Cl 2.65, 4 Mn 2.65
Mn (0.2500, 0.2500, 0.7500) x4  4 Ta 2.65, 4 Mn 2.65
Cl (0.2500, 0.2500, 0.2500) x4  4 Ta 2.65, 4 Mn 2.65

Computed properties:
The total energy is -27.24 eV per atom. The total magnetization is 23.62 Bohr magnetons per cell.

=====

A crystal of Mn2SiMo relaxed with PBEsol, computed with meta-GGA SCAN.

Cell: 5.0707 8.0451 2.6066 Å, 90.00 114.10 90.00°
With the nearest neighbours (Å) after each atom.
Space group C2/m (No. 12)
Unique sites:
Mn (0.2500, 0.2500, 0.0000) x4  2 Si 2.45, 2 Mo 2.45, 4 Mn 2.54-2.61
Si (0.0000, 0.0000, 0.5000) x2  4 Mn 2.45, 2 Mo 2.54, 2 Si 2.61
Mo (0.0000, 0.5000, 0.5000) x2  4 Mn 2.45, 2 Si 2.54, 2 Mo 2.61

Computed properties:
The total energy is -20.41 eV per atom. The total magnetization is 8.03 Bohr magnetons per cell.

=====

A crystal of Cd2Cu3 relaxed with PBEsol, computed with meta-GGA SCAN.

Cell: 8.9540 12.9439 5.0719 Å, 90.00 90.00 90.00°
With the nearest neighbours (Å) after each atom.
Space group Fdd2 (No. 43)
Unique sites:
Cd (0.0576, 0.3028, 0.0000) x16  9 Cu 2.67-2.89
Cu (0.0000, 0.0000, 0.3591) x8  4 Cu 2.44-2.56, 4 Cd 2.70-2.71
Cu (0.0611, 0.3900, 0.4839) x16  4 Cu 2.44-2.60, 5 Cd 2.67-2.71

Computed properties:
As for the energy of formation: 0.066 eV per atom. The total energy is -21.22 eV per atom. The total magnetization is 0.00 Bohr magnetons per cell.

=====

A crystal of KCdI2N relaxed with PBEsol, computed with meta-GGA SCAN.

Cell: 6.3437 6.3437 4.9910 Å, 90.00 90.00 90.00°
With the nearest neighbours (Å) after each atom.
Space group P4/mmm (No. 123)
Unique sites:
K (0.0000, 0.0000, 0.0000) x1  2 N 2.50
Cd (0.5000, 0.5000, 0.5000) x1  8 I 4.04, 4 N 4.49
I (0.0000, 0.5000, 0.0000) x2  2 K 3.17
N (0.0000, 0.0000, 0.5000) x1  2 K 2.50

Computed properties:
The total energy is -23.71 eV per atom. The total magnetization is 3.88 Bohr magnetons per cell.

=====

A crystal of BeZnSe2Br relaxed with PBEsol, computed with meta-GGA SCAN.

Cell: 4.6201 4.6201 4.6143 Å, 90.00 90.00 90.00°
With the nearest neighbours (Å) after each atom.
Space group P4/mmm (No. 123)
Unique sites:
Be (0.0000, 0.0000, 0.0000) x1  2 Br 2.31, 4 Se 2.31
Zn (0.5000, 0.5000, 0.5000) x1  8 Se 3.26, 4 Br 3.27
Se (0.0000, 0.5000, 0.0000) x2  2 Be 2.31
Br (0.0000, 0.0000, 0.5000) x1  2 Be 2.31

Computed properties:
The total energy is -15.24 eV per atom. The total magnetization is 0.00 Bohr magnetons per cell.